Record 1
! LaTcMo2, relaxed, DFT GGA-PBE; values from VASP
! E_form   722 meV/atom
! VASP energy   -34.07 eV per formula unit
! Energy relative to the lowest polymorph listed for this composition   394 meV/atom
! DOS(E_F)   4.61 states/eV/cell
&SYSTEM
  ibrav = 0, nat = 4, ntyp = 3
/
ATOMIC_SPECIES
La 138.91 La.upf
Tc 98.00 Tc.upf
Mo 95.94 Mo.upf
CELL_PARAMETERS angstrom
2.579 -4.884 0.000
2.579 4.884 0.000
0.000 0.000 2.947
ATOMIC_POSITIONS crystal
La 0.000 0.000 0.000
Tc 0.500 0.500 0.000
Mo 0.000 0.500 0.500
Mo 0.500 0.000 0.500

---

Record 2
! LaTcMo2, relaxed, DFT GGA-PBE; values from VASP
! E_form   442 meV/atom
! VASP energy   -35.19 eV per formula unit
! Energy relative to the lowest polymorph listed for this composition   115 meV/atom
! DOS(E_F)   3.43 states/eV/cell
&SYSTEM
  ibrav = 0, nat = 4, ntyp = 3
/
ATOMIC_SPECIES
La 138.91 La.upf
Tc 98.00 Tc.upf
Mo 95.94 Mo.upf
CELL_PARAMETERS angstrom
4.983 -1.607 0.000
4.983 1.607 0.000
-1.460 0.000 5.160
ATOMIC_POSITIONS crystal
La 0.000 0.000 0.000
Tc 0.500 0.500 0.500
Mo 0.215 0.215 0.652
Mo 0.785 0.785 0.348